First-principles (PBE-GGA) data for Li2TbAgI6 after structural relaxation, as listed in Alexandria.

Computed properties:
* space-group type: R3, No. 146
* total magnetization: 0.000 μB/f.u.
* mass density: 4.829 g/cm3
* volume: 35.84 A^3/atom
* formation energy (no corrections): -1.061 eV per atom

POSCAR file:
```
Li2TbAgI6
1.0
3.806 2.197 7.144
-3.806 2.197 7.144
0.000 -4.394 7.144
Li Tb Ag I
2 1 1 6
Direct
0.000 0.000 0.000 Li
0.477 0.477 0.477 Li
0.670 0.670 0.670 Tb
0.254 0.254 0.254 Ag
0.078 0.398 0.748 I
0.251 0.874 0.605 I
0.398 0.748 0.078 I
0.605 0.251 0.874 I
0.748 0.078 0.398 I
0.874 0.605 0.251 I
```